Computed, not measured: crystalline LiPIrS2 at its relaxed geometry at the PBEsol level of DFT.

abc: 4.8970 4.8970 4.3392
angles: 90.00 90.00 90.00
With the nearest neighbours (Å) after each atom.
Space group P4/mmm (No. 123)
Symmetry-distinct sites (fractional):
Li 0.0000 0.0000 0.0000  8 S 3.27, 4 P 3.46
P 0.5000 0.5000 0.0000  2 Ir 2.17
Ir 0.5000 0.5000 0.5000  2 P 2.17
S 0.0000 0.5000 0.5000  2 Ir 2.45

formation energy without anion corrections = 0.244 eV/atom
VASP energy = -5.03 eV/atom